# Ce4PmDy3S8 (GGA-PBE, relaxed)
# - Calculated total energy: -6.74 eV/atom
data_Ce4PmDy3S8
_chemical_formula_sum 'Ce12 Pm3 Dy9 S24'
_cell_length_a 7.9426
_cell_length_b 7.9426
_cell_length_c 19.6095
_cell_angle_alpha 90.00
_cell_angle_beta 90.00
_cell_angle_gamma 120.00
_space_group_name_H-M_alt 'R -3 m'
_space_group_IT_number 166
_space_group_name_Hall '-R 3 2"'
loop_
_atom_site_label
_atom_site_fract_x
_atom_site_fract_y
_atom_site_fract_z
Ce1 0.0000 0.0000 0.0000
Ce2 0.0000 0.5000 0.0000
Pm1 0.0000 0.0000 0.5000
Dy1 0.0000 0.5000 0.5000
S1 0.0000 0.0000 0.2461
S2 0.0055 0.5028 0.7526